# YRhSe2 | Alexandria | meta-GGA SCAN | PBEsol geometry
data_YRhSe2
_chemical_formula_sum 'Y1 Rh1 Se2'
_symmetry_space_group_name_H-M 'P 1'
_symmetry_Int_Tables_number 1
_cell_length_a 3.954
_cell_length_b 4.895
_cell_length_c 5.049
_cell_angle_alpha 64.58
_cell_angle_beta 66.95
_cell_angle_gamma 66.18
loop_
_symmetry_equiv_pos_as_xyz
'x,y,z'
loop_
_atom_site_label
_atom_site_fract_x
_atom_site_fract_y
_atom_site_fract_z
Rh1 0.000 0.500 0.500
Se1 0.301 0.686 0.711
Se2 0.699 0.314 0.289
Y1 0.500 0.000 0.000
# Crystal system: monoclinic
# DFT total energy in eV/atom: -26.518

# ZnRhSe | Alexandria | meta-GGA SCAN | PBEsol geometry
data_ZnRhSe
_chemical_formula_sum 'Zn1 Rh1 Se1'
_symmetry_space_group_name_H-M 'P 1'
_symmetry_Int_Tables_number 1
_cell_length_a 2.963
_cell_length_b 2.963
_cell_length_c 5.747
_cell_angle_alpha 104.94
_cell_angle_beta 104.94
_cell_angle_gamma 90.00
loop_
_symmetry_equiv_pos_as_xyz
'x,y,z'
loop_
_atom_site_label
_atom_site_fract_x
_atom_site_fract_y
_atom_site_fract_z
Rh1 0.997 0.997 0.994
Se1 0.355 0.355 0.710
Zn1 0.648 0.648 0.295
# Crystal system: tetragonal
# DFT total energy in eV/atom: -22.497

Number 1: density 7.46 Mg/m³, ΔE_f (raw) -1075 meV per atom, magnetization 0.0 μB per cell. Number 2: density 8.74 Mg/m³, ΔE_f (raw) -42 meV per atom, magnetization 0.0 μB per cell.